1.
DFT (PBE) results for crystalline CeHoMgCd at its relaxed geometry.

a b c (Å): 7.580 7.580 7.580
angles (deg): 90.00 90.00 90.00
Space group F-43m (No. 216)
One atom of each set of equivalent atoms:
Ce1 0.000 0.000 0.000 [4 per cell]
Ho1 0.000 0.000 0.500 [4 per cell]
Mg1 0.250 0.250 0.750 [4 per cell]
Cd1 0.250 0.250 0.250 [4 per cell]

Properties
DOS at the Fermi energy (states/eV/f.u.): 9.56
ΔE_f (eV/f.u.): -0.4
V (Å³/atom): 27.2
Calculated total energy (eV per atom): -3.35
Magnetic moment (μB per formula unit): 1.3

---

2.
DFT (PBE) results for crystalline CeHo2CdN at its relaxed geometry.

a b c (Å): 4.836 4.836 4.860
angles (deg): 90.00 90.00 90.00
Space group P4/mmm (No. 123)
One atom of each set of equivalent atoms:
Ce1 0.000 0.000 0.000 [1 per cell]
Ho1 0.000 0.500 0.500 [2 per cell]
Cd1 0.500 0.500 0.000 [1 per cell]
N1 0.000 0.000 0.500 [1 per cell]

Properties
DOS at the Fermi energy (states/eV/f.u.): 6.73
V (Å³/atom): 22.7
Uncorrected formation energy (eV per atom): -0.76
Calculated total energy (eV per atom): -5.63
Magnetic moment (μB per formula unit): 0.5

---

3.
DFT (PBE) results for crystalline CeNdHoCd at its relaxed geometry.

a b c (Å): 7.699 7.699 7.699
angles (deg): 90.00 90.00 90.00
Space group F-43m (No. 216)
One atom of each set of equivalent atoms:
Ce1 0.000 0.000 0.000 [4 per cell]
Nd1 0.250 0.250 0.750 [4 per cell]
Ho1 0.250 0.250 0.250 [4 per cell]
Cd1 0.000 0.000 0.500 [4 per cell]

Properties
DOS at the Fermi energy (states/eV/f.u.): 9.14
ΔE_f (eV/f.u.): 0.2
V (Å³/atom): 28.5
Calculated total energy (eV per atom): -3.99
Magnetic moment (μB per formula unit): 0.9

---

4.
DFT (PBE) results for crystalline CeHoCdPd at its relaxed geometry.

a b c (Å): 7.322 7.322 7.322
angles (deg): 90.00 90.00 90.00
Space group F-43m (No. 216)
One atom of each set of equivalent atoms:
Ce1 0.000 0.000 0.000 [4 per cell]
Ho1 0.000 0.000 0.500 [4 per cell]
Cd1 0.250 0.250 0.250 [4 per cell]
Pd1 0.250 0.250 0.750 [4 per cell]

Properties
DOS at the Fermi energy (states/eV/f.u.): 8.51
ΔE_f (eV/f.u.): -1.7
V (Å³/atom): 24.5
Calculated total energy (eV per atom): -4.57
Magnetic moment (μB per formula unit): 0.9

---

5.
DFT (PBE) results for crystalline CePmHoCd at its relaxed geometry.

a b c (Å): 7.747 7.747 7.747
angles (deg): 90.00 90.00 90.00
Space group F-43m (No. 216)
One atom of each set of equivalent atoms:
Ce1 0.000 0.000 0.000 [4 per cell]
Pm1 0.250 0.250 0.750 [4 per cell]
Ho1 0.000 0.000 0.500 [4 per cell]
Cd1 0.250 0.250 0.250 [4 per cell]

Properties
DOS at the Fermi energy (states/eV/f.u.): 8.10
ΔE_f (eV/f.u.): 0.2
V (Å³/atom): 29.1
Calculated total energy (eV per atom): -4.01
Magnetic moment (μB per formula unit): 1.7

---

6.
DFT (PBE) results for crystalline CePrHoCd at its relaxed geometry.

a b c (Å): 7.720 7.720 7.720
angles (deg): 90.00 90.00 90.00
Space group F-43m (No. 216)
One atom of each set of equivalent atoms:
Ce1 0.000 0.000 0.000 [4 per cell]
Pr1 0.250 0.250 0.250 [4 per cell]
Ho1 0.250 0.250 0.750 [4 per cell]
Cd1 0.000 0.000 0.500 [4 per cell]

Properties
DOS at the Fermi energy (states/eV/f.u.): 9.09
ΔE_f (eV/f.u.): 0.2
V (Å³/atom): 28.8
Calculated total energy (eV per atom): -3.99
Magnetic moment (μB per formula unit): 1.2

---

7.
DFT (PBE) results for crystalline CeHoCdRh at its relaxed geometry.

a b c (Å): 7.221 7.221 7.221
angles (deg): 90.00 90.00 90.00
Space group F-43m (No. 216)
One atom of each set of equivalent atoms:
Ce1 0.000 0.000 0.000 [4 per cell]
Ho1 0.000 0.000 0.500 [4 per cell]
Cd1 0.250 0.250 0.250 [4 per cell]
Rh1 0.250 0.250 0.750 [4 per cell]

Properties
DOS at the Fermi energy (states/eV/f.u.): 6.86
ΔE_f (eV/f.u.): -1.6
V (Å³/atom): 23.5
Calculated total energy (eV per atom): -5.10
Magnetic moment (μB per formula unit): 0.7

---

8.
DFT (PBE) results for crystalline CeHoCdSi at its relaxed geometry.

a b c (Å): 7.287 7.287 7.287
angles (deg): 90.00 90.00 90.00
Space group F-43m (No. 216)
One atom of each set of equivalent atoms:
Ce1 0.000 0.000 0.000 [4 per cell]
Ho1 0.000 0.000 0.500 [4 per cell]
Cd1 0.250 0.250 0.750 [4 per cell]
Si1 0.250 0.250 0.250 [4 per cell]

Properties
DOS at the Fermi energy (states/eV/f.u.): 7.01
V (Å³/atom): 24.2
Uncorrected formation energy (eV per atom): -0.33
Calculated total energy (eV per atom): -4.54
Magnetic moment (μB per formula unit): 0.9